# Sm2Cu12Ni3Pt

An optimized crystal structure of Sm2Cu12Ni3Pt (PBE, the Alexandria database).

Cell lengths 5.8607, 5.8607, 28.2969 Å; angles 90.00, 90.00, 120.00 degrees
Space group R-3m (No. 166, hexagonal axes)
Inequivalent atoms, fractional coordinates:
Sm 0.0000 0.0000 0.1436 [6 per cell]
Cu 0.0346 0.5173 0.0950 [18 per cell]
Cu 0.0682 0.5341 0.6200 [18 per cell]
Ni 0.0000 0.5000 0.0000 [9 per cell]
Pt 0.0000 0.0000 0.5000 [3 per cell]

Size of the total moment ... 0.0 Bohr magnetons per cell
Crystal system ... trigonal
Energy of formation from the pure elements ... 4.29 kcal/mol of atoms
ρ ... 8.5 g cm⁻³


# Sm2Cu3Ni12Pt

An optimized crystal structure of Sm2Cu3Ni12Pt (PBE, the Alexandria database).

Cell lengths 5.0415, 5.0415, 35.4517 Å; angles 90.00, 90.00, 120.00 degrees
Space group R-3m (No. 166, hexagonal axes)
Inequivalent atoms, fractional coordinates:
Sm 0.0000 0.0000 0.1408 [6 per cell]
Cu 0.0000 0.5000 0.0000 [9 per cell]
Ni 0.0075 0.5038 0.1058 [18 per cell]
Ni 0.0158 0.5079 0.6126 [18 per cell]
Pt 0.0000 0.0000 0.5000 [3 per cell]

Size of the total moment ... 15.9 Bohr magnetons per cell
Crystal system ... trigonal
Energy of formation from the pure elements ... 2.05 kcal/mol of atoms
ρ ... 8.9 g cm⁻³


# CuNiSnPt

An optimized crystal structure of CuNiSnPt (PBE, the Alexandria database).

Cell lengths 3.8130, 3.8476, 4.0245 Å; angles 90.00, 90.00, 90.00 degrees
Space group Pmmm (No. 47)
Inequivalent atoms, fractional coordinates:
Cu 0.0000 0.0000 0.0000 [1 per cell]
Ni 0.0000 0.5000 0.5000 [1 per cell]
Sn 0.5000 0.0000 0.5000 [1 per cell]
Pt 0.5000 0.5000 0.0000 [1 per cell]

Size of the total moment ... 0.0 Bohr magnetons per cell
Crystal system ... orthorhombic
Energy of formation from the pure elements ... -5.59 kcal/mol of atoms
ρ ... 12.3 g cm⁻³


# TaCuNiPt

An optimized crystal structure of TaCuNiPt (PBE, the Alexandria database).

Cell lengths 3.8281, 3.8281, 7.6433 Å; angles 90.00, 90.00, 90.00 degrees
Space group I-4m2 (No. 119)
Inequivalent atoms, fractional coordinates:
Ta 0.0000 0.0000 0.0000 [2 per cell]
Cu 0.0000 0.0000 0.5000 [2 per cell]
Ni 0.0000 0.5000 0.2500 [2 per cell]
Pt 0.0000 0.5000 0.7500 [2 per cell]

Size of the total moment ... 0.0 Bohr magnetons per cell
Crystal system ... tetragonal
E above lowest polymorph ... 0.0 kJ/mol of atoms
Energy of formation from the pure elements ... -9.31 kcal/mol of atoms
ρ ... 14.8 g cm⁻³


# TaCuNiPt

An optimized crystal structure of TaCuNiPt (PBE, the Alexandria database).

Cell lengths 6.1199, 6.1199, 6.1199 Å; angles 90.00, 90.00, 90.00 degrees
Space group F-43m (No. 216)
Inequivalent atoms, fractional coordinates:
Ta 0.0000 0.0000 0.0000 [4 per cell]
Cu 0.0000 0.0000 0.5000 [4 per cell]
Ni 0.2500 0.2500 0.7500 [4 per cell]
Pt 0.2500 0.2500 0.2500 [4 per cell]

Size of the total moment ... 0.0 Bohr magnetons per cell
Crystal system ... cubic
E above lowest polymorph ... 9.7 kJ/mol of atoms
Energy of formation from the pure elements ... -6.98 kcal/mol of atoms
ρ ... 14.4 g cm⁻³


# Th2CuNi3Pt12

An optimized crystal structure of Th2CuNi3Pt12 (PBE, the Alexandria database).

Cell lengths 8.0567, 8.0567, 18.9275 Å; angles 90.00, 90.00, 120.00 degrees
Space group R-3m (No. 166, hexagonal axes)
Inequivalent atoms, fractional coordinates:
Th 0.0000 0.0000 0.1207 [6 per cell]
Cu 0.0000 0.0000 0.5000 [3 per cell]
Ni 0.0000 0.5000 0.0000 [9 per cell]
Pt 0.0046 0.5023 0.3754 [18 per cell]
Pt 0.0070 0.5035 0.8714 [18 per cell]

Size of the total moment ... 11.2 Bohr magnetons per cell
Crystal system ... trigonal
Energy of formation from the pure elements ... -3.48 kcal/mol of atoms
ρ ... 14.3 g cm⁻³


# Th2Cu3Ni12Pt

An optimized crystal structure of Th2Cu3Ni12Pt (PBE, the Alexandria database).

Cell lengths 6.0549, 6.0549, 25.5088 Å; angles 90.00, 90.00, 120.00 degrees
Space group R-3m (No. 166, hexagonal axes)
Inequivalent atoms, fractional coordinates:
Th 0.0000 0.0000 0.1388 [6 per cell]
Cu 0.0000 0.5000 0.0000 [9 per cell]
Ni 0.0471 0.5236 0.8976 [18 per cell]
Ni 0.0781 0.5391 0.6217 [18 per cell]
Pt 0.0000 0.0000 0.5000 [3 per cell]

Size of the total moment ... 0.0 Bohr magnetons per cell
Crystal system ... trigonal
Energy of formation from the pure elements ... 3.04 kcal/mol of atoms
ρ ... 9.6 g cm⁻³


# TmCuNiPt

An optimized crystal structure of TmCuNiPt (PBE, the Alexandria database).

Cell lengths 6.2969, 6.2969, 6.2969 Å; angles 90.00, 90.00, 90.00 degrees
Space group F-43m (No. 216)
Inequivalent atoms, fractional coordinates:
Tm 0.0000 0.0000 0.0000 [4 per cell]
Cu 0.2500 0.2500 0.2500 [4 per cell]
Ni 0.2500 0.2500 0.7500 [4 per cell]
Pt 0.0000 0.0000 0.5000 [4 per cell]

Size of the total moment ... 0.0 Bohr magnetons per cell
Crystal system ... cubic
Energy of formation from the pure elements ... -11.54 kcal/mol of atoms
ρ ... 12.9 g cm⁻³


# U2CuNi2Pt5

An optimized crystal structure of U2CuNi2Pt5 (PBE, the Alexandria database).

Cell lengths 9.1047, 9.1047, 3.9667 Å; angles 90.00, 90.00, 90.00 degrees
Space group P4/mbm (No. 127)
Inequivalent atoms, fractional coordinates:
U 0.1759 0.3241 0.0000 [4 per cell]
Cu 0.0000 0.0000 0.0000 [2 per cell]
Ni 0.1236 0.6236 0.0000 [4 per cell]
Pt 0.0000 0.5000 0.5000 [2 per cell]
Pt 0.0724 0.7986 0.5000 [8 per cell]

Size of the total moment ... 5.5 Bohr magnetons per cell
Crystal system ... tetragonal
Energy of formation from the pure elements ... -12.50 kcal/mol of atoms
ρ ... 16.5 g cm⁻³


# CuNi2Pt4W

An optimized crystal structure of CuNi2Pt4W (PBE, the Alexandria database).

Cell lengths 3.8039, 3.8039, 9.1566 Å; angles 90.00, 90.00, 90.00 degrees
Space group P4/mmm (No. 123)
Inequivalent atoms, fractional coordinates:
Cu 0.0000 0.0000 0.0000 [1 per cell]
Ni 0.5000 0.5000 0.1179 [2 per cell]
Pt 0.0000 0.5000 0.3037 [4 per cell]
W 0.0000 0.0000 0.5000 [1 per cell]

Size of the total moment ... 1.0 Bohr magnetons per cell
Crystal system ... tetragonal
Energy of formation from the pure elements ... 5.13 kcal/mol of atoms
ρ ... 14.4 g cm⁻³